[1]
# Na2AsSe PBE optimized geometry
data_Na2AsSe
_cell_length_a 5.0042
_cell_length_b 5.0042
_cell_length_c 5.0042
_cell_angle_alpha 60.00
_cell_angle_beta 60.00
_cell_angle_gamma 60.00
_space_group_name_H-M_alt 'P 1'
_space_group_IT_number 1
loop_
_space_group_symop_operation_xyz
'x,y,z'
loop_
_atom_site_label
_atom_site_type_symbol
_atom_site_fract_x
_atom_site_fract_y
_atom_site_fract_z
Na1 Na 0.2500 0.2500 0.2500
Na2 Na 0.7500 0.7500 0.7500
As1 As 0.0000 0.0000 0.0000
Se1 Se 0.5000 0.5000 0.5000
# - E above lowest polymorph: 0.015 eV per atom
# - Formation energy without anion corrections: -0.29 eV per atom
# - Space group: Fm-3m

***

[2]
# Na2SiAsSe4 PBE optimized geometry
data_Na2SiAsSe4
_cell_length_a 7.9856
_cell_length_b 7.9856
_cell_length_c 7.9856
_cell_angle_alpha 121.55
_cell_angle_beta 118.66
_cell_angle_gamma 89.84
_space_group_name_H-M_alt 'P 1'
_space_group_IT_number 1
loop_
_space_group_symop_operation_xyz
'x,y,z'
loop_
_atom_site_label
_atom_site_type_symbol
_atom_site_fract_x
_atom_site_fract_y
_atom_site_fract_z
Na1 Na 0.0000 0.0000 0.0000
Na2 Na 0.5000 0.0000 0.0000
Na3 Na 0.5000 0.0000 0.5000
Na4 Na 0.5000 0.5000 0.5000
Si1 Si 0.0000 0.0000 0.5000
Si2 Si 0.0000 0.5000 0.0000
As1 As 0.0000 0.5000 0.5000
As2 As 0.5000 0.5000 0.0000
Se1 Se 0.2117 0.7429 0.4688
Se2 Se 0.2258 0.2571 0.9688
Se3 Se 0.2341 0.2485 0.5144
Se4 Se 0.2341 0.7196 0.9856
Se5 Se 0.7659 0.2804 0.0144
Se6 Se 0.7659 0.7515 0.4856
Se7 Se 0.7742 0.7429 0.0312
Se8 Se 0.7883 0.2571 0.5312
# - Formation energy without anion corrections: -0.47 eV per atom
# - Space group: Imma

***

[3]
# NaSiAsSe2 PBE optimized geometry
data_NaSiAsSe2
_cell_length_a 5.0504
_cell_length_b 5.0504
_cell_length_c 4.7238
_cell_angle_alpha 90.00
_cell_angle_beta 90.00
_cell_angle_gamma 90.00
_space_group_name_H-M_alt 'P 1'
_space_group_IT_number 1
loop_
_space_group_symop_operation_xyz
'x,y,z'
loop_
_atom_site_label
_atom_site_type_symbol
_atom_site_fract_x
_atom_site_fract_y
_atom_site_fract_z
Na1 Na 0.0000 0.0000 0.0000
Si1 Si 0.5000 0.5000 0.5000
As1 As 0.5000 0.5000 0.0000
Se1 Se 0.0000 0.5000 0.5000
Se2 Se 0.5000 0.0000 0.5000
# - E above lowest polymorph: 0.000 eV per atom
# - Formation energy without anion corrections: 0.03 eV per atom
# - Space group: P4/mmm

***

[4]
# NaSiAs2Se PBE optimized geometry
data_NaSiAs2Se
_cell_length_a 4.9636
_cell_length_b 4.9636
_cell_length_c 5.1269
_cell_angle_alpha 90.00
_cell_angle_beta 90.00
_cell_angle_gamma 90.00
_space_group_name_H-M_alt 'P 1'
_space_group_IT_number 1
loop_
_space_group_symop_operation_xyz
'x,y,z'
loop_
_atom_site_label
_atom_site_type_symbol
_atom_site_fract_x
_atom_site_fract_y
_atom_site_fract_z
Na1 Na 0.0000 0.0000 0.0000
Si1 Si 0.5000 0.5000 0.5000
As1 As 0.0000 0.5000 0.0000
As2 As 0.5000 0.0000 0.0000
Se1 Se 0.0000 0.0000 0.5000
# - E above lowest polymorph: 0.978 eV per atom
# - Formation energy without anion corrections: 1.20 eV per atom
# - Space group: P4/mmm